Computed, not measured: a geometry-optimized ReAs2Ru structure at the PBE level of DFT.

Lattice parameters (Å, degrees): 2.988 4.058 5.223 90.00 90.00 90.00
Space group Pmmm (No. 47)
Asymmetric unit:
1 Re 0.000 0.000 0.000
2 As 0.000 0.500 0.500
3 As 0.500 0.500 0.000
4 Ru 0.500 0.000 0.500

## Properties
polymorph energy (0 for the lowest one): 487 meV per atom
formation enthalpy at 0 K: 2.04 eV per formula unit